No. 1
The following is a meta-GGA SCAN calculation of a PBEsol-optimized structure of BeGeMo2Ir, from Alexandria via LeMat-Bulk.

The structure in POSCAR format:
```
BeGeMo2Ir
1.0
4.582 0.000 0.000
0.000 4.582 0.000
0.000 0.000 3.840
Be Ge Mo Ir
1 1 2 1
Direct
0.000 0.000 0.000 Be
0.000 0.000 0.500 Ge
0.000 0.500 0.500 Mo
0.500 0.000 0.500 Mo
0.500 0.500 0.000 Ir
```

Results
Total magnetization (μB/atom): 0.531
Calculated formation energy (eV per atom): 1.32
Symmetry: P4/mmm

---

No. 2
The following is a meta-GGA SCAN calculation of a PBEsol-optimized structure of TcTeRu2, from Alexandria via LeMat-Bulk.

The structure in POSCAR format:
```
TcTeRu2
1.0
4.534 -1.465 0.000
4.534 1.465 0.000
-0.565 0.000 4.617
Tc Te Ru
1 1 2
Direct
0.000 0.000 0.000 Tc
0.231 0.231 0.701 Te
0.469 0.469 0.449 Ru
0.733 0.733 0.203 Ru
```

Results
Total magnetization (μB/atom): 0.000
Energy relative to the elements, uncorrected (eV per atom): 0.329
Symmetry: Cm

---

No. 3
The following is a meta-GGA SCAN calculation of a PBEsol-optimized structure of GaAsH4O6, from Alexandria via LeMat-Bulk.

The structure in POSCAR format:
```
GaAsH4O6
1.0
8.845 0.000 0.000
0.000 9.763 0.000
0.000 0.000 10.416
Ga As H O
8 8 32 48
Direct
0.137 0.192 0.126 Ga
0.137 0.308 0.626 Ga
0.363 0.692 0.126 Ga
0.363 0.808 0.626 Ga
0.637 0.192 0.374 Ga
0.637 0.308 0.874 Ga
0.863 0.692 0.374 Ga
0.863 0.808 0.874 Ga
0.043 0.633 0.648 As
0.043 0.867 0.148 As
0.457 0.133 0.648 As
0.457 0.367 0.148 As
0.543 0.633 0.852 As
0.543 0.867 0.352 As
0.957 0.133 0.852 As
0.957 0.367 0.352 As
0.105 0.633 0.024 H
0.105 0.867 0.524 H
0.166 0.170 0.367 H
0.166 0.330 0.867 H
0.178 0.594 0.314 H
0.178 0.906 0.814 H
0.205 0.011 0.564 H
0.205 0.489 0.064 H
0.295 0.511 0.564 H
0.295 0.989 0.064 H
0.322 0.094 0.314 H
0.322 0.406 0.814 H
0.334 0.670 0.367 H
0.334 0.830 0.867 H
0.395 0.133 0.024 H
0.395 0.367 0.524 H
0.605 0.633 0.476 H
0.605 0.867 0.976 H
0.666 0.170 0.133 H
0.666 0.330 0.633 H
0.678 0.594 0.186 H
0.678 0.906 0.686 H
0.705 0.011 0.936 H
0.705 0.489 0.436 H
0.795 0.511 0.936 H
0.795 0.989 0.436 H
0.822 0.094 0.186 H
0.822 0.406 0.686 H
0.834 0.670 0.133 H
0.834 0.830 0.633 H
0.895 0.133 0.476 H
0.895 0.367 0.976 H
0.010 0.535 0.368 O
0.010 0.965 0.868 O
0.015 0.693 0.799 O
0.015 0.807 0.299 O
0.048 0.245 0.956 O
0.048 0.255 0.456 O
0.206 0.589 0.033 O
0.206 0.911 0.533 O
0.215 0.121 0.293 O
0.215 0.379 0.793 O
0.233 0.645 0.613 O
0.233 0.855 0.113 O
0.267 0.145 0.613 O
0.267 0.355 0.113 O
0.285 0.621 0.293 O
0.285 0.879 0.793 O
0.294 0.089 0.033 O
0.294 0.411 0.533 O
0.452 0.745 0.956 O
0.452 0.755 0.456 O
0.485 0.193 0.799 O
0.485 0.307 0.299 O
0.490 0.035 0.368 O
0.490 0.465 0.868 O
0.510 0.535 0.132 O
0.510 0.965 0.632 O
0.515 0.693 0.701 O
0.515 0.807 0.201 O
0.548 0.245 0.544 O
0.548 0.255 0.044 O
0.706 0.589 0.467 O
0.706 0.911 0.967 O
0.715 0.121 0.207 O
0.715 0.379 0.707 O
0.733 0.645 0.887 O
0.733 0.855 0.387 O
0.767 0.145 0.887 O
0.767 0.355 0.387 O
0.785 0.621 0.207 O
0.785 0.879 0.707 O
0.794 0.089 0.467 O
0.794 0.411 0.967 O
0.952 0.745 0.544 O
0.952 0.755 0.044 O
0.985 0.193 0.701 O
0.985 0.307 0.201 O
0.990 0.035 0.132 O
0.990 0.465 0.632 O
```

Results
Total magnetization (μB/atom): 0.000
Calculated total energy (eV/atom): -8.668
Symmetry: Pbca

---

No. 4
The following is a meta-GGA SCAN calculation of a PBEsol-optimized structure of CrAu3, from Alexandria via LeMat-Bulk.

The structure in POSCAR format:
```
CrAu3
1.0
4.654 -1.550 0.000
4.654 1.550 0.000
-1.116 0.000 4.554
Cr Au
1 3
Direct
0.000 0.000 0.000 Cr
0.255 0.255 0.756 Au
0.500 0.500 0.500 Au
0.745 0.745 0.244 Au
```

Results
Total magnetization (μB/atom): 1.025
Calculated formation energy (eV per atom): -0.09
Symmetry: C2/m

---

No. 5
The following is a meta-GGA SCAN calculation of a PBEsol-optimized structure of BePtAu2, from Alexandria via LeMat-Bulk.

The structure in POSCAR format:
```
BePtAu2
1.0
0.000 3.096 3.096
3.096 0.000 3.096
3.096 3.096 0.000
Be Pt Au
1 1 2
Direct
0.000 0.000 0.000 Be
0.750 0.750 0.750 Pt
0.250 0.250 0.250 Au
0.500 0.500 0.500 Au
```

Results
Total magnetization (μB/atom): 0.000
Calculated formation energy (eV per atom): -0.02
Symmetry: F-43m

---

No. 6
The following is a meta-GGA SCAN calculation of a PBEsol-optimized structure of YCd2Si, from Alexandria via LeMat-Bulk.

The structure in POSCAR format:
```
YCd2Si
1.0
-2.080 2.080 4.848
2.080 -2.080 4.848
2.080 2.080 -4.848
Y Cd Si
1 2 1
Direct
0.000 0.000 0.000 Y
0.250 0.750 0.500 Cd
0.750 0.250 0.500 Cd
0.500 0.500 0.000 Si
```

Results
Total magnetization (μB/atom): 0.000
Energy relative to the elements, uncorrected (eV per atom): -0.261
Symmetry: I4/mmm

---

No. 7
The following is a meta-GGA SCAN calculation of a PBEsol-optimized structure of CaTa2Al, from Alexandria via LeMat-Bulk.

The structure in POSCAR format:
```
CaTa2Al
1.0
3.242 0.000 0.000
0.000 4.736 0.000
0.000 0.000 5.042
Ca Ta Al
1 2 1
Direct
0.000 0.000 0.000 Ca
0.000 0.500 0.500 Ta
0.500 0.000 0.500 Ta
0.500 0.500 0.000 Al
```

Results
Total magnetization (μB/atom): 0.000
Calculated formation energy (eV per atom): 0.47
Symmetry: Pmmm

---

No. 8
The following is a meta-GGA SCAN calculation of a PBEsol-optimized structure of MnRhO2, from Alexandria via LeMat-Bulk.

The structure in POSCAR format:
```
MnRhO2
1.0
1.546 0.893 5.769
-1.546 0.893 5.769
0.000 -1.785 5.769
Mn Rh O
1 1 2
Direct
0.000 0.000 0.000 Mn
0.500 0.500 0.500 Rh
0.110 0.110 0.110 O
0.890 0.890 0.890 O
```

Results
Total magnetization (μB/atom): 1.012
Energy relative to the elements, uncorrected (eV per atom): -1.063
Symmetry: R-3m